[1]
The following is a PBE-GGA calculation of crystalline GaOs2C2 at its relaxed geometry, from Alexandria via LeMat-Bulk.

Cell: 3.278 3.278 5.952 Å, 74.02 74.02 90.00°
Sites, in units of the cell vectors:
C 0.750 0.250 0.500
C 0.250 0.750 0.500
Os 0.366 0.366 0.268
Os 0.634 0.634 0.732
Ga 0.000 0.000 0.000

Computed properties:
**ΔE to the lowest computed polymorph**: 0 meV per atom
**Calculated density**: 13.370 g/cm3
**Formation energy from the elements**: 0.771 eV/atom
**Final energy**: -8.02 eV per atom

[2]
The following is a PBE-GGA calculation of crystalline HgBi4Pt at its relaxed geometry, from Alexandria via LeMat-Bulk.

Cell: 7.738 7.749 8.238 Å, 118.19 118.15 89.74°
Sites, in units of the cell vectors:
Hg 0.621 0.871 0.742
Hg 0.379 0.129 0.258
Bi 0.819 0.549 0.830
Bi 0.510 0.281 0.830
Bi 0.782 0.321 0.330
Bi 0.218 0.679 0.670
Bi 0.952 0.991 0.670
Bi 0.490 0.719 0.170
Bi 0.048 0.009 0.330
Bi 0.181 0.451 0.170
Pt 0.875 0.625 0.250
Pt 0.125 0.375 0.750

Computed properties:
**Calculated density**: 11.103 g/cm3
**Formation energy from the elements**: -0.056 eV/atom
**Final energy**: -3.70 eV per atom

[3]
The following is a PBE-GGA calculation of crystalline PrNdIn3 at its relaxed geometry, from Alexandria via LeMat-Bulk.

Cell: 5.944 5.944 12.157 Å, 104.15 104.15 90.00°
Sites, in units of the cell vectors:
Pr 0.000 0.000 0.000
Pr 0.250 0.750 0.500
Nd 0.668 0.168 0.335
Nd 0.832 0.332 0.665
In 0.624 0.878 0.755
In 0.122 0.869 0.245
In 0.122 0.376 0.245
In 0.131 0.878 0.755
In 0.250 0.250 0.501
In 0.750 0.750 0.499

Computed properties:
**ΔE to the lowest computed polymorph**: 325 meV per atom
**Calculated density**: 5.188 g/cm3
**Formation energy from the elements**: 0.062 eV/atom
**Final energy**: -3.49 eV per atom

[4]
The following is a PBE-GGA calculation of crystalline SrLaTcAu2 at its relaxed geometry, from Alexandria via LeMat-Bulk.

Cell: 5.374 6.210 5.374 Å, 90.00 90.00 90.00°
Sites, in units of the cell vectors:
Sr 0.000 0.000 0.000
Au 0.000 0.000 0.500
Au 0.500 0.000 0.000
Tc 0.500 0.500 0.500
La 0.000 0.500 0.000

Computed properties:
**Calculated density**: 6.653 g/cm3
**Formation energy from the elements**: 1.428 eV/atom
**Final energy**: -3.28 eV per atom

[5]
The following is a PBE-GGA calculation of crystalline Ba3PrPa2N6 at its relaxed geometry, from Alexandria via LeMat-Bulk.

Cell: 3.706 7.717 8.569 Å, 106.60 102.49 90.00°
Sites, in units of the cell vectors:
Ba 0.500 0.500 0.000
Ba 0.835 0.169 0.670
Ba 0.165 0.831 0.330
Pr 0.500 0.000 0.000
Pa 0.832 0.669 0.665
Pa 0.168 0.331 0.335
N 0.337 0.866 0.674
N 0.685 0.541 0.371
N 0.663 0.134 0.326
N 0.029 0.243 0.058
N 0.971 0.757 0.942
N 0.315 0.459 0.629

Computed properties:
**Calculated density**: 7.975 g/cm3
**Final energy**: -7.81 eV per atom
**ΔE_f (raw)**: -1.1885 eV per atom

[6]
The following is a PBE-GGA calculation of crystalline SnHgCl2F at its relaxed geometry, from Alexandria via LeMat-Bulk.

Cell: 5.433 5.433 4.440 Å, 90.00 90.00 90.00°
Sites, in units of the cell vectors:
F 0.000 0.000 0.500
Cl 0.000 0.500 0.000
Cl 0.500 0.000 0.000
Hg 0.500 0.500 0.500
Sn 0.000 0.000 0.000

Computed properties:
**Calculated density**: 5.184 g/cm3
**Final energy**: -2.97 eV per atom
**ΔE_f (raw)**: -0.9986 eV per atom

[7]
The following is a PBE-GGA calculation of crystalline Ti8Ga2Ni3 at its relaxed geometry, from Alexandria via LeMat-Bulk.

Cell: 4.476 6.373 8.001 Å, 113.47 90.02 90.00°
Sites, in units of the cell vectors:
Ti 0.001 0.679 0.359
Ti 0.999 0.321 0.641
Ti 0.000 0.104 0.208
Ti 0.000 0.896 0.792
Ti 0.500 0.599 0.794
Ti 0.500 0.196 0.794
Ti 0.500 0.804 0.206
Ti 0.500 0.401 0.206
Ga 0.499 0.229 0.457
Ga 0.501 0.771 0.543
Ni 0.500 0.000 0.000
Ni 0.000 0.313 0.000
Ni 0.000 0.687 0.000

Computed properties:
**Calculated density**: 5.540 g/cm3
**Formation energy from the elements**: -0.038 eV/atom
**Final energy**: -6.70 eV per atom

[8]
The following is a PBE-GGA calculation of crystalline LaDyTlRh at its relaxed geometry, from Alexandria via LeMat-Bulk.

Cell: 5.251 5.251 5.251 Å, 60.00 60.00 60.00°
Sites, in units of the cell vectors:
Tl 0.000 0.000 0.000
La 0.750 0.750 0.750
Rh 0.500 0.500 0.500
Dy 0.250 0.250 0.250

Computed properties:
**ΔE to the lowest computed polymorph**: 152 meV per atom
**Calculated density**: 9.872 g/cm3
**Formation energy from the elements**: -0.426 eV/atom
**Final energy**: -5.24 eV per atom